Computed, not measured: Cs2MgNCl6 after structural relaxation at the GGA-PBE level of DFT.

Cell: 6.9555 6.9555 11.8009 Å, 90.00 90.00 90.00°
With the nearest neighbours (Å) after each atom.
Space group I4/mmm (No. 139)
One atom of each set of equivalent atoms:
Cs 0.0000 0.5000 0.2500 (multiplicity 4)  12 Cl 3.53-3.85
Mg 0.0000 0.0000 0.0000 (multiplicity 2)  2 Cl 2.34
N 0.0000 0.0000 0.5000 (multiplicity 2)  4 Cl 2.20
Cl 0.0000 0.0000 0.1984 (multiplicity 4)  1 Mg 2.34
Cl 0.2234 0.2234 0.5000 (multiplicity 8)  1 N 2.20

Output
As for the uncorrected energy: -3.17 eV per atom.